1.
14
Lattice="-3.8952 3.8952 4.0633 3.8952 -3.8952 4.0633 3.8952 3.8952 -4.0633" Properties=species:S:1:pos:R:3 comment="Mg8PdPt5 (PBE, relaxed)" delta_e_f_ev_per_atom=-0.634 dos_ef_per_ev_atom=0.376 energy_ev_per_cell=-57.0 pbc="T T T"
Mg 3.3479 1.3435 -0.6531
Mg 1.3704 -0.6750 1.8982
Mg 2.5249 4.5702 -2.1651
Mg 2.5517 -0.5474 4.7163
Mg 3.2202 2.5249 2.1651
Mg 1.3435 4.4426 0.6531
Mg 0.5474 2.5517 3.4102
Mg 0.6750 1.3704 6.2284
Pd 3.8952 0.0000 2.0316
Pt 6.0587 0.9241 -0.7324
Pt 0.9241 1.7317 0.7324
Pt 0.0000 0.0000 4.0633
Pt -2.1635 2.9711 3.3309
Pt 2.9711 2.1635 4.7957

***

2.
10
Lattice="4.1952 -7.7752 0.0000 4.1952 7.7752 0.0000 0.0000 0.0000 2.7704" Properties=species:S:1:pos:R:3 comment="Mg2Pd7Pt (PBE, relaxed)" delta_e_f_ev_per_atom=0.035 dos_ef_per_ev_atom=1.173 energy_ev_per_cell=-45.2 pbc="T T T"
Mg 4.1952 5.0457 0.0000
Mg 4.1952 -5.0457 0.0000
Pd 0.0000 0.0000 0.0000
Pd 2.2757 1.4380 0.0000
Pd 4.1952 2.8506 1.3852
Pd 2.2757 -1.4380 0.0000
Pd 6.1146 1.4380 0.0000
Pd 4.1952 -2.8506 1.3852
Pd 6.1146 -1.4380 0.0000
Pt 4.1952 0.0000 1.3852

***

3.
7
Lattice="2.2512 1.2997 7.1869 -2.2512 1.2997 7.1869 0.0000 -2.5994 7.1869" Properties=species:S:1:pos:R:3 comment="Mg4Pd2Pt (PBE, relaxed)" polymorph_energy_ev_per_atom=0.0000 delta_e_f_ev_per_atom=-0.655 dos_ef_per_ev_atom=0.344 energy_ev_per_cell=-27.4 pbc="T T T"
Mg 0.0000 0.0000 2.6036
Mg 0.0000 0.0000 8.0296
Mg 0.0000 0.0000 13.5312
Mg 0.0000 0.0000 18.9572
Pd 0.0000 0.0000 5.3148
Pd 0.0000 0.0000 16.2460
Pt 0.0000 0.0000 10.7804

***

4.
17
Lattice="7.6334 0.0000 0.0000 -3.8167 6.6107 0.0000 0.0000 0.0000 5.4532" Properties=species:S:1:pos:R:3 comment="Mg6PdPt10 (PBE, relaxed)" delta_e_f_ev_per_atom=-0.562 dos_ef_per_ev_atom=0.405 energy_ev_per_cell=-84.7 pbc="T T T"
Mg -1.3231 2.2916 1.7568
Mg -2.4936 4.3191 3.6964
Mg 2.6461 0.0000 1.7568
Mg 1.3231 2.2916 3.6964
Mg 4.9873 0.0000 3.6964
Mg 2.4936 4.3191 1.7568
Pd 0.0000 0.0000 2.7266
Pt -1.1856 2.0536 4.5430
Pt -2.6310 4.5571 0.9102
Pt 2.3713 0.0000 4.5430
Pt 1.1856 2.0536 0.9102
Pt 0.0000 4.4071 0.0000
Pt 0.0000 4.4071 2.7266
Pt 3.8167 2.2036 0.0000
Pt 3.8167 2.2036 2.7266
Pt 5.2621 0.0000 0.9102
Pt 2.6310 4.5571 4.5430

***

5.
13
Lattice="4.8215 0.0000 0.0000 -1.6358 6.0773 0.0000 -2.3157 -1.2617 6.8907" Properties=species:S:1:pos:R:3 comment="Mg2Pd8Pt3 (PBE, relaxed)" polymorph_energy_ev_per_atom=0.0000 delta_e_f_ev_per_atom=-0.330 dos_ef_per_ev_atom=1.461 energy_ev_per_cell=-67.1 pbc="T T T"
Mg -0.3883 1.5318 1.8527
Mg 1.2583 3.2838 5.0380
Pd -1.9199 -0.1589 6.1184
Pd -1.1495 1.9747 4.4938
Pd 0.3843 3.7009 0.2777
Pd -1.1456 4.5872 5.5639
Pd 2.0156 0.2283 1.3268
Pd 0.4858 1.1147 6.6130
Pd 2.0195 2.8408 2.3969
Pd 2.7899 4.9744 0.7724
Pt -1.1578 -0.6309 3.4454
Pt -0.3930 4.1596 2.9164
Pt 1.2631 0.6560 3.9743

***

6.
16
Lattice="5.5620 0.0000 0.0000 0.0000 5.5620 0.0000 0.0000 0.0000 7.9741" Properties=species:S:1:pos:R:3 comment="MgPd14Pt (PBE, relaxed)" delta_e_f_ev_per_atom=-0.126 dos_ef_per_ev_atom=2.222 energy_ev_per_cell=-82.3 pbc="T T T"
Mg 0.0000 0.0000 0.0000
Pd 0.0000 0.0000 3.9871
Pd 0.0000 2.7810 0.0000
Pd 0.0000 2.7810 3.9871
Pd 1.3900 1.3900 1.9831
Pd 1.3900 1.3900 5.9910
Pd 1.3900 4.1721 1.9831
Pd 1.3900 4.1721 5.9910
Pd 2.7810 0.0000 0.0000
Pd 2.7810 0.0000 3.9871
Pd 2.7810 2.7810 3.9871
Pd 4.1721 1.3900 1.9831
Pd 4.1721 1.3900 5.9910
Pd 4.1721 4.1721 1.9831
Pd 4.1721 4.1721 5.9910
Pt 2.7810 2.7810 0.0000

***

7.
30
Lattice="-3.9317 3.9317 7.8285 3.9317 -3.9317 7.8285 3.9317 3.9317 -7.8285" Properties=species:S:1:pos:R:3 comment="MgPd6Pt23 (PBE, relaxed)" delta_e_f_ev_per_atom=-0.073 dos_ef_per_ev_atom=1.611 energy_ev_per_cell=-173.9 pbc="T T T"
Mg 0.0000 0.0000 0.0000
Pd 1.9414 1.9414 0.0000
Pd 1.9903 -1.9903 7.8285
Pd 0.0000 0.0000 3.9294
Pd 0.0000 0.0000 11.7276
Pd -1.9903 1.9903 7.8285
Pd 1.9903 1.9903 7.8285
Pt 1.9659 1.9659 -3.9142
Pt 1.9659 -1.9659 3.9142
Pt 3.9317 0.0000 0.0000
Pt 3.9317 1.9344 -1.9888
Pt 3.9317 -1.9360 5.8080
Pt 1.9957 0.0000 2.0205
Pt 5.8677 0.0000 2.0205
Pt 1.9344 3.9317 -1.9888
Pt 1.9973 0.0000 5.8397
Pt 3.9317 1.9344 1.9888
Pt 0.0000 1.9957 2.0205
Pt -1.9659 1.9659 3.9142
Pt 0.0000 3.9317 0.0000
Pt 0.0000 0.0000 7.8285
Pt 1.9659 1.9659 3.9142
Pt 3.9317 1.9360 5.8080
Pt 0.0000 1.9973 5.8397
Pt 1.9344 3.9317 1.9888
Pt 1.9973 0.0000 9.8173
Pt -1.9360 3.9317 5.8080
Pt 1.9360 3.9317 5.8080
Pt 0.0000 5.8677 2.0205
Pt 0.0000 1.9973 9.8173

***

8.
3
Lattice="4.4286 0.0000 0.0000 -2.2143 3.8353 0.0000 0.0000 0.0000 2.8016" Properties=species:S:1:pos:R:3 comment="MgPdPt (PBE, relaxed)" polymorph_energy_ev_per_atom=0.0804 delta_e_f_ev_per_atom=-0.521 dos_ef_per_ev_atom=0.243 energy_ev_per_cell=-14.4 pbc="T T T"
Mg 0.0000 0.0000 0.0000
Pd 0.0000 2.5569 0.6477
Pt 2.2143 1.2784 1.8786

***

- What is the formula in the sixth record?
  MgPd14Pt